(1)
Computed, not measured: a relaxed structure of Tb2MgCu at the GGA-PBE level of DFT.

Cell and atoms, written as POSCAR:
```
Tb2MgCu
1.0
3.518 0.000 0.000
0.000 3.518 0.000
0.000 0.000 7.927
Tb Mg Cu
2 1 1
Cartesian
0.000 0.000 1.685
0.000 0.000 6.242
1.759 1.759 3.964
1.759 1.759 0.000
```

Summary:
VASP energy (eV/atom): -3.88
Symmetry: P4/mmm, No. 123
ΔE to the lowest computed polymorph (meV per atom): 0
DOS(E_F) (states/eV/cell): 4.76
ΔH_f (0 K) (meV/atom): -140

***

(2)
Computed, not measured: a relaxed structure of Tb5MgCu4 at the GGA-PBE level of DFT.

Cell and atoms, written as POSCAR:
```
Tb5MgCu4
1.0
3.486 0.000 0.000
0.000 3.486 0.000
0.000 0.000 18.481
Tb Mg Cu
5 1 4
Cartesian
0.000 0.000 0.000
0.000 0.000 3.487
0.000 0.000 6.936
0.000 0.000 11.545
0.000 0.000 14.995
1.743 1.743 9.241
1.743 1.743 1.736
1.743 1.743 5.275
1.743 1.743 13.206
1.743 1.743 16.746
```

Summary:
VASP energy (eV/atom): -4.32
Symmetry: P4/mmm, No. 123
DOS(E_F) (states/eV/cell): 7.08
ΔH_f (0 K) (meV/atom): -203

***

(3)
Computed, not measured: a relaxed structure of Tb4Mg3Cu at the GGA-PBE level of DFT.

Cell and atoms, written as POSCAR:
```
Tb4Mg3Cu
1.0
3.660 0.000 0.000
0.000 3.660 0.000
0.000 0.000 15.368
Tb Mg Cu
4 3 1
Cartesian
0.000 0.000 1.646
0.000 0.000 5.669
0.000 0.000 9.699
0.000 0.000 13.722
1.830 1.830 3.699
1.830 1.830 7.684
1.830 1.830 11.669
1.830 1.830 0.000
```

Summary:
VASP energy (eV/atom): -3.53
Symmetry: P4/mmm, No. 123
DOS(E_F) (states/eV/cell): 9.07
ΔH_f (0 K) (meV/atom): -105

***

(4)
Computed, not measured: a relaxed structure of TbMg4Cu2 at the GGA-PBE level of DFT.

Cell and atoms, written as POSCAR:
```
TbMg4Cu2
1.0
2.115 -8.147 0.000
2.115 8.147 0.000
0.000 0.000 4.181
Tb Mg Cu
1 4 2
Cartesian
0.000 0.000 0.000
2.115 5.297 2.091
2.115 2.862 0.000
2.115 -2.862 0.000
2.115 -5.297 2.091
2.115 1.192 2.091
2.115 -1.192 2.091
```

Summary:
VASP energy (eV/atom): -2.84
Symmetry: Cmmm, No. 65
ΔE to the lowest computed polymorph (meV per atom): 19
DOS(E_F) (states/eV/cell): 4.04
ΔH_f (0 K) (meV/atom): -99

***

(5)
Computed, not measured: a relaxed structure of Tb6MgCu at the GGA-PBE level of DFT.

Cell and atoms, written as POSCAR:
```
Tb6MgCu
1.0
6.126 0.000 0.000
-0.567 6.100 0.000
-0.550 -0.606 6.076
Tb Mg Cu
6 1 1
Cartesian
0.010 1.544 0.442
0.685 5.374 2.835
1.945 2.404 4.494
3.063 3.090 1.581
4.324 0.120 3.241
4.999 3.950 5.634
3.063 0.000 0.000
-0.559 2.747 3.038
```

Summary:
VASP energy (eV/atom): -4.13
Symmetry: P-1, No. 2
DOS(E_F) (states/eV/cell): 9.98
ΔH_f (0 K) (meV/atom): 54

***

(6)
Computed, not measured: a relaxed structure of TbMg3Cu at the GGA-PBE level of DFT.

Cell and atoms, written as POSCAR:
```
TbMg3Cu
1.0
4.889 0.000 0.000
0.000 4.889 0.000
0.000 0.000 4.889
Tb Mg Cu
1 3 1
Cartesian
0.000 0.000 0.000
0.000 2.444 2.444
2.444 0.000 2.444
2.444 2.444 0.000
2.444 2.444 2.444
```

Summary:
VASP energy (eV/atom): -2.66
Symmetry: Pm-3m, No. 221
ΔE to the lowest computed polymorph (meV per atom): 170
DOS(E_F) (states/eV/cell): 3.04
ΔH_f (0 K) (meV/atom): 47

***

(7)
Computed, not measured: a relaxed structure of TbMg6Cu6 at the GGA-PBE level of DFT.

Cell and atoms, written as POSCAR:
```
TbMg6Cu6
1.0
-2.622 4.563 4.609
2.622 -4.563 4.609
2.622 4.563 -4.609
Tb Mg Cu
1 6 6
Cartesian
0.000 0.000 0.000
2.622 0.000 1.742
0.000 3.083 0.000
0.000 0.000 3.186
0.000 0.000 6.032
0.000 6.043 0.000
0.000 4.563 2.868
1.311 2.281 -2.305
1.311 -2.281 2.305
2.622 2.094 0.000
-1.311 2.281 2.305
1.311 2.281 2.305
0.000 2.469 4.609
```

Summary:
VASP energy (eV/atom): -3.10
Symmetry: Immm, No. 71
DOS(E_F) (states/eV/cell): 7.24
ΔH_f (0 K) (meV/atom): -118

***

(8)
Computed, not measured: a relaxed structure of Tb4MgCu3 at the GGA-PBE level of DFT.

Cell and atoms, written as POSCAR:
```
Tb4MgCu3
1.0
3.564 0.000 0.000
0.000 5.047 0.000
0.000 0.000 10.012
Tb Mg Cu
4 1 3
Cartesian
0.000 0.000 0.000
0.000 0.000 5.006
0.000 2.524 2.349
0.000 2.524 7.663
1.782 2.524 5.006
1.782 0.000 2.608
1.782 0.000 7.404
1.782 2.524 0.000
```

Summary:
VASP energy (eV/atom): -4.21
Symmetry: Pmmm, No. 47
DOS(E_F) (states/eV/cell): 5.72
ΔH_f (0 K) (meV/atom): -164

***

(9)
Computed, not measured: a relaxed structure of TbMg8Cu4 at the GGA-PBE level of DFT.

Cell and atoms, written as POSCAR:
```
TbMg8Cu4
1.0
-4.767 4.767 2.684
4.767 -4.767 2.684
4.767 4.767 -2.684
Tb Mg Cu
1 8 4
Cartesian
0.000 0.000 0.000
3.253 0.000 0.000
6.281 0.000 0.000
4.767 2.710 0.000
0.000 3.253 0.000
2.710 4.767 0.000
2.056 0.000 2.684
0.000 6.281 0.000
0.000 2.056 2.684
2.383 2.383 -1.342
2.383 -2.383 1.342
-2.383 2.383 1.342
2.383 2.383 1.342
```

Summary:
VASP energy (eV/atom): -2.70
Symmetry: I4/mmm, No. 139
DOS(E_F) (states/eV/cell): 7.06
ΔH_f (0 K) (meV/atom): -102

***

(10)
Computed, not measured: a relaxed structure of Tb2MgCu6 at the GGA-PBE level of DFT.

Cell and atoms, written as POSCAR:
```
Tb2MgCu6
1.0
5.692 0.000 0.000
-2.846 4.929 0.000
0.000 0.000 5.506
Tb Mg Cu
2 1 6
Cartesian
0.000 3.286 0.867
2.846 1.643 4.638
0.000 0.000 0.000
0.000 1.833 3.606
-1.259 4.013 3.606
1.587 0.916 1.900
1.259 4.013 3.606
4.105 0.916 1.900
2.846 3.097 1.900
```

Summary:
VASP energy (eV/atom): -4.08
Symmetry: P-3m1, No. 164
DOS(E_F) (states/eV/cell): 5.36
ΔH_f (0 K) (meV/atom): -141

***

(11)
Computed, not measured: a relaxed structure of Tb8Mg2Cu at the GGA-PBE level of DFT.

Cell and atoms, written as POSCAR:
```
Tb8Mg2Cu
1.0
8.904 -2.692 0.000
8.904 2.692 0.000
-2.118 0.000 6.584
Tb Mg Cu
8 2 1
Cartesian
-0.257 0.000 1.812
1.872 0.000 5.079
5.050 0.000 3.630
7.092 0.000 0.431
8.598 0.000 6.153
10.640 0.000 2.954
13.818 0.000 1.505
15.947 0.000 4.772
2.868 0.000 1.401
12.822 0.000 5.183
7.845 0.000 3.292
```

Summary:
VASP energy (eV/atom): -4.01
Symmetry: C2/m, No. 12
DOS(E_F) (states/eV/cell): 14.01
ΔH_f (0 K) (meV/atom): 23

***

(12)
Computed, not measured: a relaxed structure of Tb12MgCu6 at the GGA-PBE level of DFT.

Cell and atoms, written as POSCAR:
```
Tb12MgCu6
1.0
-4.968 4.968 4.968
4.968 -4.968 4.968
4.968 4.968 -4.968
Tb Mg Cu
12 1 6
Cartesian
4.968 -2.006 3.091
2.962 1.877 0.000
6.974 1.877 0.000
3.091 4.968 -2.006
1.877 0.000 2.962
0.000 2.962 1.877
4.968 2.006 3.091
3.091 4.968 2.006
1.877 0.000 6.974
-2.006 3.091 4.968
2.006 3.091 4.968
0.000 6.974 1.877
0.000 0.000 0.000
4.968 0.000 1.225
4.968 3.743 0.000
1.225 4.968 0.000
3.743 0.000 4.968
0.000 1.225 4.968
0.000 4.968 3.743
```

Summary:
VASP energy (eV/atom): -4.43
Symmetry: Im-3, No. 204
DOS(E_F) (states/eV/cell): 16.91
ΔH_f (0 K) (meV/atom): -127

***

| no. | theoretical density (g/cm³) | magnetic moment (μB per cell) |
| --- | --- | --- |
| 1 | 6.87 | 0.000 |
| 2 | 7.93 | 0.000 |
| 3 | 6.23 | 0.000 |
| 4 | 4.42 | 0.000 |
| 5 | 7.62 | 0.000 |
| 6 | 4.20 | 0.000 |
| 7 | 5.16 | 0.000 |
| 8 | 7.84 | 0.000 |
| 9 | 4.14 | 0.000 |
| 10 | 7.78 | 0.000 |
| 11 | 7.28 | 0.000 |
| 12 | 7.83 | 0.000 |